# 1
The following is a DFT calculation (GGA-PBE) of a geometry-optimized Nd2ThCo2 structure.

Cell and atoms, written as POSCAR:
```
Nd2ThCo2
1.0
-0.486 2.533 5.782
2.702 -5.547 -0.809
5.643 4.254 -1.390
Co Th Nd
4 2 4
direct
0.996 0.310 0.010
0.313 0.310 0.510
0.004 0.690 0.990
0.687 0.690 0.490
0.073 0.000 0.750
0.927 0.000 0.250
0.447 0.692 0.852
0.553 0.308 0.148
0.245 0.692 0.352
0.755 0.308 0.648
```

=====

# 2
The following is a DFT calculation (GGA-PBE) of a geometry-optimized Nd2Th3Co2 structure.

Cell and atoms, written as POSCAR:
```
Nd2Th3Co2
1.0
-1.024 3.558 -0.506
-3.686 1.582 4.784
4.713 4.219 6.333
Th Nd Co
3 2 2
direct
0.500 0.000 0.000
0.381 0.811 0.427
0.619 0.189 0.573
0.833 0.535 0.799
0.167 0.465 0.201
0.125 0.966 0.785
0.875 0.034 0.215
```

=====

# 3
The following is a DFT calculation (GGA-PBE) of a geometry-optimized Nd2ThCo9 structure.

Cell and atoms, written as POSCAR:
```
Nd2ThCo9
1.0
4.801 0.000 1.429
2.188 4.273 1.429
-0.027 -0.016 8.870
Co Nd Th
9 2 1
direct
0.421 0.421 0.239
0.081 0.579 0.761
0.579 0.579 0.761
0.333 0.333 0.000
0.667 0.667 0.000
0.421 0.919 0.239
0.919 0.421 0.239
0.500 0.500 0.500
0.579 0.081 0.761
0.140 0.140 0.580
0.860 0.860 0.420
0.000 0.000 0.000
```

=====

# 4
The following is a DFT calculation (GGA-PBE) of a geometry-optimized NdTiCo structure.

Cell and atoms, written as POSCAR:
```
NdTiCo
1.0
-3.618 -2.807 -0.005
2.889 0.009 1.473
-4.397 5.652 8.586
Co Nd Ti
2 2 2
direct
0.194 0.388 0.500
0.695 0.390 0.000
0.694 0.388 0.663
0.694 0.388 0.337
0.195 0.389 0.885
0.195 0.389 0.115
```

=====

# 5
The following is a DFT calculation (GGA-PBE) of a geometry-optimized Nd2Ti2Co15 structure.

Cell and atoms, written as POSCAR:
```
Nd2Ti2Co15
1.0
4.787 -4.216 -0.010
4.787 4.216 -0.010
1.086 0.000 6.286
Co Nd Ti
15 2 2
direct
0.289 0.000 0.711
0.344 0.852 0.344
0.000 0.000 0.500
0.711 0.000 0.289
0.344 0.344 0.852
0.000 0.289 0.711
0.289 0.711 0.000
0.500 0.000 0.000
0.852 0.344 0.344
0.148 0.656 0.656
0.656 0.148 0.656
0.000 0.500 0.000
0.656 0.656 0.148
0.711 0.289 0.000
0.000 0.711 0.289
0.646 0.646 0.646
0.354 0.354 0.354
0.106 0.106 0.106
0.894 0.894 0.894
```

=====

# 6
The following is a DFT calculation (GGA-PBE) of a geometry-optimized Nd8TlCo2 structure.

Cell and atoms, written as POSCAR:
```
Nd8TlCo2
1.0
5.539 -0.043 -0.064
-0.976 8.108 -0.306
-0.976 -3.405 7.365
Nd Tl Co
8 1 2
direct
0.062 0.334 0.077
0.938 0.666 0.923
0.500 0.751 0.249
0.698 0.396 0.396
0.062 0.077 0.334
0.500 0.249 0.751
0.302 0.604 0.604
0.938 0.923 0.666
0.500 0.000 0.000
0.000 0.707 0.293
0.000 0.293 0.707
```

=====

# 7
The following is a DFT calculation (GGA-PBE) of a geometry-optimized Nd3TlCo structure.

Cell and atoms, written as POSCAR:
```
Nd3TlCo
1.0
-4.646 2.559 -1.763
-2.968 -2.932 -5.295
-7.230 -5.340 2.441
Tl Co Nd
2 2 6
direct
0.607 0.233 0.554
0.393 0.767 0.446
0.867 0.331 0.936
0.133 0.669 0.064
0.626 0.663 0.085
0.846 0.657 0.651
0.374 0.337 0.915
0.105 0.008 0.782
0.895 0.992 0.218
0.154 0.343 0.349
```

Calculated values
Energy relative to the lowest polymorph listed for this composition (meV per atom): 0

=====

# 8
The following is a DFT calculation (GGA-PBE) of a geometry-optimized Nd5Tl2Co structure.

Cell and atoms, written as POSCAR:
```
Nd5Tl2Co
1.0
-2.831 -3.026 -2.386
5.994 -5.630 0.029
-4.183 -4.399 10.542
Nd Tl Co
10 4 2
direct
0.000 0.632 0.697
0.000 0.000 0.500
0.500 0.818 0.932
0.500 0.318 0.568
0.000 0.868 0.197
0.000 0.500 0.000
0.500 0.682 0.432
0.000 0.132 0.803
0.000 0.368 0.303
0.500 0.182 0.068
0.500 0.924 0.669
0.500 0.576 0.169
0.500 0.076 0.331
0.500 0.424 0.831
0.000 0.500 0.500
0.000 0.000 0.000
```

Calculated values
Energy relative to the lowest polymorph listed for this composition (meV per atom): 0

=====

# 9
The following is a DFT calculation (GGA-PBE) of a geometry-optimized Nd5TlCo2 structure.

Cell and atoms, written as POSCAR:
```
Nd5TlCo2
1.0
-7.378 -2.127 1.656
2.030 -7.559 -0.668
4.257 4.665 6.329
Nd Co Tl
10 4 2
direct
0.293 0.793 0.261
0.793 0.968 0.261
0.968 0.468 0.261
0.207 0.032 0.739
0.707 0.207 0.739
0.532 0.707 0.739
0.468 0.293 0.261
0.032 0.532 0.739
0.500 0.500 0.000
0.000 0.000 0.000
0.368 0.868 0.000
0.632 0.132 0.000
0.868 0.632 0.000
0.132 0.368 0.000
0.750 0.750 0.500
0.250 0.250 0.500
```

=====

# 10
The following is a DFT calculation (GGA-PBE) of a geometry-optimized Nd5Tl2Co structure.

Cell and atoms, written as POSCAR:
```
Nd5Tl2Co
1.0
-5.248 1.525 0.503
1.163 -7.475 4.850
2.993 6.985 10.048
Nd Tl Co
10 4 2
direct
0.070 0.140 0.396
0.070 0.140 0.104
0.291 0.582 0.417
0.291 0.582 0.083
0.709 0.418 0.917
0.300 0.600 0.750
0.709 0.418 0.583
0.700 0.400 0.250
0.930 0.860 0.896
0.930 0.860 0.604
0.881 0.762 0.366
0.119 0.238 0.866
0.119 0.238 0.634
0.881 0.762 0.134
0.182 0.363 0.250
0.818 0.637 0.750
```

Calculated values
Energy relative to the lowest polymorph listed for this composition (meV per atom): 335

=====

# 11
The following is a DFT calculation (GGA-PBE) of a geometry-optimized Nd5TlCo structure.

Cell and atoms, written as POSCAR:
```
Nd5TlCo
1.0
6.508 0.317 -0.073
2.366 6.071 -0.073
3.322 2.392 10.978
Tl Nd Co
2 10 2
direct
0.534 0.466 0.750
0.466 0.534 0.250
0.800 0.441 0.452
0.005 0.995 0.750
0.559 0.200 0.048
0.028 0.409 0.864
0.409 0.028 0.364
0.200 0.559 0.548
0.995 0.005 0.250
0.441 0.800 0.952
0.972 0.591 0.136
0.591 0.972 0.636
0.000 0.000 0.000
0.000 0.000 0.500
```

=====

# 12
The following is a DFT calculation (GGA-PBE) of a geometry-optimized Nd3TlCo structure.

Cell and atoms, written as POSCAR:
```
Nd3TlCo
1.0
7.249 0.006 0.001
3.629 6.287 0.000
3.622 -2.087 6.554
Co Nd Tl
2 6 2
direct
0.055 0.927 0.728
0.371 0.269 0.751
0.035 0.687 0.008
0.035 0.188 0.008
0.392 0.008 0.471
0.392 0.510 0.471
0.535 0.188 0.007
0.892 0.009 0.472
0.513 0.699 0.040
0.914 0.498 0.439
```

Calculated values
Energy relative to the lowest polymorph listed for this composition (meV per atom): 129

=====

no.,E (eV/f.u.),total magnetic moment (μB per cell),E_form (eV per atom)
1,-32.09,0.0,-0.18
2,-47.31,0.0,-0.19
3,-82.02,9.4,-0.09
4,-19.42,2.1,0.11
5,-134.33,17.8,-0.13
6,-55.10,0.0,-0.03
7,-24.57,0.0,-0.16
8,-37.58,0.0,-0.24
9,-41.57,0.0,-0.14
10,-34.91,0.0,0.10
11,-33.67,0.0,-0.05
12,-23.92,0.0,-0.03